No. 1
## Ba2ZrP (SCAN)

Data for Ba2ZrP at its PBEsol-relaxed geometry.

The structure in extended XYZ format:
```
4
Lattice="-2.4616 -2.2201 3.1391 3.7856 -2.0516 1.5176 0.1213 6.1196 1.1033" Properties=species:S:1:pos:R:3 pbc="T T T"
Zr 0.0000 0.0000 0.0000
Ba -0.8392 0.8818 3.2854
Ba 2.2844 0.9661 2.4747
P 0.6620 -2.1359 2.3284
```

Values from the calculation:
E_form: 194.3 meV/atom

No. 2
## USbAs (SCAN)

Data for USbAs at its PBEsol-relaxed geometry.

The structure in extended XYZ format:
```
6
Lattice="4.0753 0.0000 0.0000 0.0000 4.0753 0.0000 0.0000 0.0000 8.2126" Properties=species:S:1:pos:R:3 pbc="T T T"
Sb 2.0376 2.0376 0.0000
U 0.0000 2.0376 5.7255
Sb 0.0000 0.0000 0.0000
As 2.0376 0.0000 5.3073
U 2.0376 0.0000 2.4871
As 0.0000 2.0376 2.9052
```

Values from the calculation:
E_form (uncorrected): -423 meV per atom

Question: Which formula does entry 2 have?
Answer: USbAs